[1]
Below is crystalline Pa2FeTe at its relaxed geometry, with properties calculated at the GGA-PBE level.

POSCAR file:
```
Pa2FeTe
1.0
3.934 0.000 0.000
1.967 3.407 0.000
1.967 1.136 7.312
Pa Fe Te
2 1 1
Direct
0.729 0.729 0.812
0.271 0.271 0.188
0.000 0.000 0.000
0.500 0.500 0.500
```

Values from the calculation:
SG: R-3m (166)
formation energy without anion corrections: -1.9 eV/f.u.
spin magnetization: 0.0 μB per formula unit
total DFT energy (no corrections): -8.12 eV/atom
N(E_F): 5.76 states/eV/cell

[2]
Below is crystalline PaFeTe2 at its relaxed geometry, with properties calculated at the GGA-PBE level.

POSCAR file:
```
PaFeTe2
1.0
3.846 0.000 0.000
1.923 3.331 0.000
1.923 1.110 9.341
Te Fe Pa
2 1 1
Direct
0.090 0.090 0.729
0.910 0.910 0.271
0.000 0.000 0.000
0.500 0.500 0.500
```

Values from the calculation:
SG: R-3m (166)
formation energy without anion corrections: 0.4 eV/f.u.
spin magnetization: 4.2 μB per formula unit
total DFT energy (no corrections): -5.96 eV/atom
relative energy among the computed polymorphs: 603.7 meV per atom
N(E_F): 6.28 states/eV/cell

[3]
Below is crystalline Pa5Fe2Te2 at its relaxed geometry, with properties calculated at the GGA-PBE level.

POSCAR file:
```
Pa5Fe2Te2
1.0
1.711 7.645 -1.495
-2.315 1.731 6.205
8.060 2.792 2.228
Pa Te Fe
10 4 4
Direct
0.942 0.356 0.773
0.058 0.644 0.227
0.215 0.144 0.227
0.715 0.356 0.227
0.558 0.856 0.227
0.785 0.856 0.773
0.285 0.644 0.773
0.442 0.144 0.773
0.000 0.000 0.000
0.500 0.500 0.000
0.709 0.500 0.582
0.209 0.000 0.582
0.791 0.000 0.418
0.291 0.500 0.418
0.899 0.674 0.000
0.101 0.326 0.000
0.399 0.826 0.000
0.601 0.174 0.000
```

Values from the calculation:
SG: Cmce (64)
formation energy without anion corrections: -3.4 eV/f.u.
spin magnetization: 0.0 μB per formula unit
total DFT energy (no corrections): -8.23 eV/atom
N(E_F): 30.14 states/eV/cell

[4]
Below is crystalline Pa2FeTe2 at its relaxed geometry, with properties calculated at the GGA-PBE level.

POSCAR file:
```
Pa2FeTe2
1.0
-2.606 1.800 -1.954
-0.764 -4.662 -3.276
-7.756 -3.640 6.989
Te Fe Pa
4 2 4
Direct
0.000 0.669 0.149
0.000 0.331 0.851
0.000 0.831 0.649
0.000 0.169 0.351
0.000 0.000 0.000
0.000 0.500 0.500
0.500 0.780 0.888
0.500 0.220 0.112
0.500 0.720 0.388
0.500 0.280 0.612
```

Values from the calculation:
SG: Pbam (55)
formation energy without anion corrections: -2.7 eV/f.u.
spin magnetization: 0.0 μB per formula unit
total DFT energy (no corrections): -7.28 eV/atom
N(E_F): 14.09 states/eV/cell